## SnBi2 (GGA-PBE)

Data for a geometry-optimized SnBi2 structure.

Values from the calculation:
Formation enthalpy at 0 K = 105.0 meV/atom
Calculated total energy = -3.82 eV/atom

a = 5.8577 Å, b = 5.8834 Å, c = 6.0542 Å
α = 90.00°, β = 118.27°, γ = 90.00°
Atoms (fractional coordinates):
Sn (0.0000, 0.0000, 0.0000)
Sn (0.5000, 0.5000, 0.0000)
Bi (0.1666, 0.5000, 0.3318)
Bi (0.3334, 0.0000, 0.6682)
Bi (0.6666, 0.0000, 0.3318)
Bi (0.8334, 0.5000, 0.6682)


## Sr3Sn2Bi4 (GGA-PBE)

Data for a geometry-optimized Sr3Sn2Bi4 structure.

Values from the calculation:
Formation enthalpy at 0 K = -499.5 meV/atom
E above lowest polymorph = 0.06 eV per formula unit
Calculated total energy = -3.67 eV/atom

a = 9.8758 Å, b = 9.8758 Å, c = 6.9943 Å
α = 92.35°, β = 92.35°, γ = 79.00°
Atoms (fractional coordinates):
Sr (0.1028, 0.8972, 0.7500)
Sr (0.2443, 0.4930, 0.0826)
Sr (0.4930, 0.2443, 0.5826)
Sr (0.5070, 0.7557, 0.4174)
Sr (0.7557, 0.5070, 0.9174)
Sr (0.8972, 0.1028, 0.2500)
Sn (0.0834, 0.3372, 0.5085)
Sn (0.3372, 0.0834, 0.0085)
Sn (0.6628, 0.9166, 0.9915)
Sn (0.9166, 0.6628, 0.4915)
Bi (0.0521, 0.2513, 0.9056)
Bi (0.2513, 0.0521, 0.4056)
Bi (0.2626, 0.5674, 0.5893)
Bi (0.4326, 0.7374, 0.9107)
Bi (0.5674, 0.2626, 0.0893)
Bi (0.7374, 0.4326, 0.4107)
Bi (0.7487, 0.9479, 0.5944)
Bi (0.9479, 0.7487, 0.0944)


## Sr6SnBi2 (GGA-PBE)

Data for a geometry-optimized Sr6SnBi2 structure.

Values from the calculation:
Formation enthalpy at 0 K = -576.0 meV/atom
Calculated total energy = -3.00 eV/atom

a = 7.9369 Å, b = 8.8210 Å, c = 13.9619 Å
α = 90.00°, β = 124.41°, γ = 90.00°
Atoms (fractional coordinates):
Sr (0.1019, 0.1884, 0.4301)
Sr (0.1019, 0.3116, 0.9301)
Sr (0.2572, 0.6821, 0.4411)
Sr (0.2572, 0.8179, 0.9411)
Sr (0.3815, 0.0584, 0.2431)
Sr (0.3815, 0.4416, 0.7431)
Sr (0.6185, 0.5584, 0.2569)
Sr (0.6185, 0.9416, 0.7569)
Sr (0.7428, 0.1821, 0.0589)
Sr (0.7428, 0.3179, 0.5589)
Sr (0.8981, 0.6884, 0.0699)
Sr (0.8981, 0.8116, 0.5699)
Sn (0.5000, 0.0000, 0.5000)
Sn (0.5000, 0.5000, 0.0000)
Bi (0.2198, 0.0898, 0.7546)
Bi (0.2198, 0.4102, 0.2546)
Bi (0.7802, 0.5898, 0.7454)
Bi (0.7802, 0.9102, 0.2454)


## Sr7Sn2Bi2 (GGA-PBE)

Data for a geometry-optimized Sr7Sn2Bi2 structure.

Values from the calculation:
Formation enthalpy at 0 K = -560.2 meV/atom
Calculated total energy = -3.06 eV/atom

a = 7.9998 Å, b = 7.9998 Å, c = 7.9933 Å
α = 90.00°, β = 90.00°, γ = 95.36°
Atoms (fractional coordinates):
Sr (0.0000, 0.0000, 0.0000)
Sr (0.0000, 0.5000, 0.2657)
Sr (0.0000, 0.5000, 0.7343)
Sr (0.5000, 0.0000, 0.2657)
Sr (0.5000, 0.0000, 0.7343)
Sr (0.5000, 0.5000, 0.2649)
Sr (0.5000, 0.5000, 0.7351)
Sn (0.2377, 0.2377, 0.5000)
Sn (0.7623, 0.7623, 0.5000)
Bi (0.2764, 0.7236, 0.0000)
Bi (0.7236, 0.2764, 0.0000)


> Number 4 is which compound?

Sr7Sn2Bi2


What did the third record say?
## Sr6SnBi2 (GGA-PBE)

Data for a geometry-optimized Sr6SnBi2 structure.

Values from the calculation:
Formation enthalpy at 0 K = -576.0 meV/atom
Calculated total energy = -3.00 eV/atom

a = 7.9369 Å, b = 8.8210 Å, c = 13.9619 Å
α = 90.00°, β = 124.41°, γ = 90.00°
Atoms (fractional coordinates):
Sr (0.1019, 0.1884, 0.4301)
Sr (0.1019, 0.3116, 0.9301)
Sr (0.2572, 0.6821, 0.4411)
Sr (0.2572, 0.8179, 0.9411)
Sr (0.3815, 0.0584, 0.2431)
Sr (0.3815, 0.4416, 0.7431)
Sr (0.6185, 0.5584, 0.2569)
Sr (0.6185, 0.9416, 0.7569)
Sr (0.7428, 0.1821, 0.0589)
Sr (0.7428, 0.3179, 0.5589)
Sr (0.8981, 0.6884, 0.0699)
Sr (0.8981, 0.8116, 0.5699)
Sn (0.5000, 0.0000, 0.5000)
Sn (0.5000, 0.5000, 0.0000)
Bi (0.2198, 0.0898, 0.7546)
Bi (0.2198, 0.4102, 0.2546)
Bi (0.7802, 0.5898, 0.7454)
Bi (0.7802, 0.9102, 0.2454)


> Among the records above, which one has the highest formation enthalpy at 0 K?

SnBi2


> The highest calculated total energy belongs to which entry?

Sr6SnBi2